A geometry-optimized V5Cr2Mo structure. Source: the Alexandria database, functional PBE-GGA.

a = 5.0180 Å, b = 9.8522 Å, c = 4.3231 Å
α = 90.00°, β = 90.00°, γ = 90.00°
Closest atoms and distances in Å follow each position.
Fractional positions:
V: 0.0000 0.0000 0.0000  2 Mo 2.51, 4 Cr 2.60, 2 V 2.61
V: 0.1474 0.2536 0.0000  5 V 2.51-2.68, 1 Mo 2.54, 2 Cr 2.66
V: 0.1691 0.6226 0.5000  4 Cr 2.46-2.56, 2 Mo 2.62, 2 V 2.68
V: 0.3309 0.1226 0.5000  4 Cr 2.46-2.56, 2 Mo 2.62, 2 V 2.68
V: 0.3526 0.7536 0.0000  5 V 2.51-2.68, 1 Mo 2.54, 2 Cr 2.66
V: 0.5000 0.5000 0.0000  2 Mo 2.51, 4 Cr 2.60, 2 V 2.61
V: 0.6474 0.2464 0.0000  5 V 2.51-2.68, 1 Mo 2.54, 2 Cr 2.66
V: 0.6691 0.8774 0.5000  4 Cr 2.46-2.56, 2 Mo 2.62, 2 V 2.68
V: 0.8309 0.3774 0.5000  4 Cr 2.46-2.56, 2 Mo 2.62, 2 V 2.68
V: 0.8526 0.7464 0.0000  5 V 2.51-2.68, 1 Mo 2.54, 2 Cr 2.66
Cr: 0.1599 0.8774 0.5000  8 V 2.46-2.66
Cr: 0.3401 0.3774 0.5000  8 V 2.46-2.66
Cr: 0.6599 0.6226 0.5000  8 V 2.46-2.66
Cr: 0.8401 0.1226 0.5000  8 V 2.46-2.66
Mo: 0.0000 0.5000 0.0000  8 V 2.51-2.62
Mo: 0.5000 0.0000 0.0000  8 V 2.51-2.62

ΔH_f (0 K) in meV per atom: 13.7
Calculated total energy in eV per cell: -151.1
Size of the total moment in μB/f.u.: 0.00

=====

A geometry-optimized V4CrMo structure. Source: the Alexandria database, functional PBE-GGA.

a = 4.0394 Å, b = 4.0394 Å, c = 5.8581 Å
α = 90.00°, β = 90.00°, γ = 90.00°
Closest atoms and distances in Å follow each position.
Fractional positions:
V: 0.0000 0.5000 0.2349  2 Cr 2.44, 2 Mo 2.55
V: 0.0000 0.5000 0.7651  2 Cr 2.44, 2 Mo 2.55
V: 0.5000 0.0000 0.2349  2 Cr 2.44, 2 Mo 2.55
V: 0.5000 0.0000 0.7651  2 Cr 2.44, 2 Mo 2.55
Cr: 0.0000 0.0000 0.0000  8 V 2.44
Mo: 0.5000 0.5000 0.5000  8 V 2.55

ΔH_f (0 K) in meV per atom: 702.0
Calculated total energy in eV per cell: -52.7
Excess energy over the best structure of this formula in the dataset in kJ/mol of atoms: 54.1
Size of the total moment in μB/f.u.: 0.00